1.
TbHoCu2 | PBE | optimized geometry

POSCAR file:
```
TbHoCu2
1.0
3.4606 0.0000 0.0000
0.0000 3.4606 0.0000
0.0000 0.0000 6.9514
Tb Ho Cu
1 1 2
direct
0.0000 0.0000 0.0000
0.0000 0.0000 0.5000
0.5000 0.5000 0.2554
0.5000 0.5000 0.7446
```

Results
As for the crystal system: tetragonal. The space-group type is P4/mmm. For the raw total energy, the calculation gives -4.60 eV/atom.

***

2.
Tb4Ho3Cu4 | PBE | optimized geometry

POSCAR file:
```
Tb4Ho3Cu4
1.0
-2.4162 3.6515 7.5505
2.4162 -3.6515 7.5505
2.4162 3.6515 -7.5505
Tb Ho Cu
4 3 4
direct
0.0485 0.8280 0.2205
0.3924 0.1720 0.2205
0.6076 0.8280 0.7795
0.9515 0.1720 0.7795
0.0000 0.5000 0.5000
0.3969 0.3969 0.0000
0.6031 0.6031 0.0000
0.1997 0.6997 0.5000
0.3328 0.0000 0.3328
0.6672 0.0000 0.6672
0.8003 0.3003 0.5000
```

Results
As for the crystal system: orthorhombic. The space-group type is Immm. For the raw total energy, the calculation gives -4.49 eV/atom.

***

3.
TbHoCu4 | PBE | optimized geometry

POSCAR file:
```
TbHoCu4
1.0
4.2832 0.0000 0.0000
0.0000 6.8315 0.0000
0.0000 0.0000 7.3331
Tb Ho Cu
2 2 8
direct
0.0000 0.0000 0.0000
0.5000 0.5000 0.5000
0.0000 0.5000 0.0877
0.5000 0.0000 0.5877
0.0000 0.1975 0.3802
0.0000 0.3014 0.7094
0.0000 0.6986 0.7094
0.0000 0.8025 0.3802
0.5000 0.1986 0.2094
0.5000 0.3025 0.8802
0.5000 0.6975 0.8802
0.5000 0.8014 0.2094
```

Results
As for the crystal system: orthorhombic. The space-group type is Imm2. For the raw total energy, the calculation gives -4.54 eV/atom.

***

4.
TbHoCu4 | PBE | optimized geometry

POSCAR file:
```
TbHoCu4
1.0
0.0000 3.7175 3.7175
3.7175 0.0000 3.7175
3.7175 3.7175 0.0000
Tb Ho Cu
1 1 4
direct
0.0000 0.0000 0.0000
0.7500 0.7500 0.7500
0.3752 0.3752 0.3752
0.3752 0.3752 0.8744
0.3752 0.8744 0.3752
0.8744 0.3752 0.3752
```

Results
As for the crystal system: cubic. The space-group type is F-43m. For the raw total energy, the calculation gives -4.44 eV/atom.

***

5.
Tb2HoCu3 | PBE | optimized geometry

POSCAR file:
```
Tb2HoCu3
1.0
3.4659 0.0000 0.0000
0.0000 3.4659 0.0000
0.0000 0.0000 10.4478
Tb Ho Cu
2 1 3
direct
0.0000 0.0000 0.1678
0.0000 0.0000 0.8322
0.0000 0.0000 0.5000
0.5000 0.5000 0.0000
0.5000 0.5000 0.3368
0.5000 0.5000 0.6632
```

Results
As for the crystal system: tetragonal. The space-group type is P4/mmm. For the raw total energy, the calculation gives -4.61 eV/atom.

***

6.
Tb3Ho2Cu2 | PBE | optimized geometry

POSCAR file:
```
Tb3Ho2Cu2
1.0
12.4096 0.0000 0.0000
0.0000 3.6309 0.0000
-3.9896 0.0000 8.0449
Tb Ho Cu
6 4 4
direct
0.0000 0.0000 0.0000
0.1135 0.0000 0.4426
0.3865 0.5000 0.5574
0.5000 0.5000 0.0000
0.6135 0.5000 0.4426
0.8865 0.0000 0.5574
0.1555 0.5000 0.8134
0.3445 0.0000 0.1866
0.6555 0.0000 0.8134
0.8445 0.5000 0.1866
0.1712 0.5000 0.2266
0.3288 0.0000 0.7734
0.6712 0.0000 0.2266
0.8288 0.5000 0.7734
```

Results
As for the crystal system: monoclinic. The space-group type is C2/m. For the raw total energy, the calculation gives -4.58 eV/atom.

***

| no. | formation energy from the elements (eV/f.u.) |
| --- | --- |
| 1 | -1.011 |
| 2 | -0.781 |
| 3 | -1.652 |
| 4 | -1.042 |
| 5 | -1.506 |
| 6 | -0.814 |